[1]
Material: TlZnAu3
Method: DFT, GGA-PBE
State: optimized geometry

abc: 5.323 5.323 5.323
angles: 90.00 90.00 90.00
Fractional positions:
1 Tl 0.000 0.000 0.000
2 Zn 0.500 0.500 0.500
3 Au 0.000 0.000 0.500
4 Au 0.000 0.500 0.000
5 Au 0.500 0.000 0.000

offset from the most stable computed form = 828.7 meV/atom
ΔH_f (0 K) = 747 meV/atom


[2]
Material: TlZnAu2
Method: DFT, GGA-PBE
State: optimized geometry

abc: 8.156 8.156 8.156
angles: 25.03 25.03 25.03
Fractional positions:
1 Tl 0.000 0.000 0.000
2 Zn 0.500 0.500 0.500
3 Au 0.238 0.238 0.238
4 Au 0.762 0.762 0.762

offset from the most stable computed form = 58.7 meV/atom
ΔH_f (0 K) = -1 meV/atom